# InRhPb2 | the Alexandria database | PBE | optimized geometry
# VASP energy (eV per atom): -4.1941
# Calculated volume (Å³ per atom): 23.7
data_InRhPb2
_chemical_formula_sum 'In2 Rh2 Pb4'
_cell_length_a 4.804
_cell_length_b 4.804
_cell_length_c 8.229
_cell_angle_alpha 90.00
_cell_angle_beta 90.00
_cell_angle_gamma 90.00
_symmetry_space_group_name_H-M 'I 4/m m m'
_symmetry_Int_Tables_number 139
_symmetry_space_group_name_Hall '-I 4 2'
loop_
_atom_site_label
_atom_site_type_symbol
_atom_site_fract_x
_atom_site_fract_y
_atom_site_fract_z
In1 In 0.000 0.000 0.000
Rh1 Rh 0.000 0.000 0.500
Pb1 Pb 0.000 0.500 0.250